## ZrCdGa2Ag (PBE)

Data for ZrCdGa2Ag after structural relaxation.

Cell: 4.816 5.050 4.816 Å, 90.00 90.00 90.00°
Positions (direct):
Ga 0.000 0.000 0.500
Ga 0.500 0.000 0.000
Zr 0.500 0.500 0.500
Ag 0.000 0.000 0.000
Cd 0.000 0.500 0.000

* E: -0.2302 Ry per atom
* M_tot: 0.000 μB per cell
* formation energy: 2.7 eV per formula unit
* DOS(E_F): 0.6306 states/eV per atom
* SG: No. 123